*one*
A plane-wave DFT calculation with PBE was carried out for an optimized crystal structure of LaSnB.

a = 3.898 Å, b = 3.898 Å, c = 15.301 Å
α = 90.00°, β = 90.00°, γ = 120.00°
Fractional positions:
La (0.000, 0.000, 0.000)
La (0.333, 0.667, 0.667)
La (0.667, 0.333, 0.333)
Sn (0.000, 0.000, 0.497)
Sn (0.333, 0.667, 0.164)
Sn (0.667, 0.333, 0.830)
B (0.000, 0.000, 0.771)
B (0.333, 0.667, 0.437)
B (0.667, 0.333, 0.104)

***

*two*
A plane-wave DFT calculation with PBE was carried out for an optimized crystal structure of LaSnB.

a = 12.946 Å, b = 5.184 Å, c = 4.167 Å
α = 90.00°, β = 93.76°, γ = 90.00°
Fractional positions:
La (0.142, 0.000, 0.035)
La (0.358, 0.500, 0.965)
La (0.642, 0.500, 0.035)
La (0.858, 0.000, 0.965)
Sn (0.125, 0.500, 0.514)
Sn (0.375, 0.000, 0.486)
Sn (0.625, 0.000, 0.514)
Sn (0.875, 0.500, 0.486)
B (0.000, 0.156, 0.500)
B (0.000, 0.844, 0.500)
B (0.500, 0.344, 0.500)
B (0.500, 0.656, 0.500)

***

Energies relative to the minimum, meV per atom: *one* 26; *two* 0

***

*one*
A plane-wave DFT calculation with PBE was carried out for an optimized crystal structure of La2SnB.

a = 7.499 Å, b = 7.499 Å, c = 7.499 Å
α = 90.00°, β = 90.00°, γ = 90.00°
Fractional positions:
La (0.250, 0.250, 0.250)
La (0.250, 0.250, 0.750)
La (0.250, 0.750, 0.250)
La (0.250, 0.750, 0.750)
La (0.750, 0.250, 0.250)
La (0.750, 0.250, 0.750)
La (0.750, 0.750, 0.250)
La (0.750, 0.750, 0.750)
Sn (0.000, 0.000, 0.000)
Sn (0.000, 0.500, 0.500)
Sn (0.500, 0.000, 0.500)
Sn (0.500, 0.500, 0.000)
B (0.000, 0.000, 0.500)
B (0.000, 0.500, 0.000)
B (0.500, 0.000, 0.000)
B (0.500, 0.500, 0.500)

***

*two*
A plane-wave DFT calculation with PBE was carried out for an optimized crystal structure of La2SnB.

a = 7.924 Å, b = 7.924 Å, c = 7.201 Å
α = 90.00°, β = 90.00°, γ = 90.00°
Fractional positions:
La (0.183, 0.250, 0.125)
La (0.250, 0.683, 0.375)
La (0.250, 0.817, 0.875)
La (0.317, 0.250, 0.625)
La (0.683, 0.750, 0.625)
La (0.750, 0.183, 0.875)
La (0.750, 0.317, 0.375)
La (0.817, 0.750, 0.125)
Sn (0.000, 0.000, 0.500)
Sn (0.000, 0.500, 0.750)
Sn (0.500, 0.000, 0.250)
Sn (0.500, 0.500, 0.000)
B (0.000, 0.000, 0.000)
B (0.000, 0.500, 0.250)
B (0.500, 0.000, 0.750)
B (0.500, 0.500, 0.500)

***

Energies relative to the minimum, meV per atom: *one* 77; *two* 0

***

*one*
A plane-wave DFT calculation with PBE was carried out for an optimized crystal structure of LaSn3B.

a = 4.983 Å, b = 4.983 Å, c = 4.983 Å
α = 90.00°, β = 90.00°, γ = 90.00°
Fractional positions:
La (0.000, 0.000, 0.000)
Sn (0.000, 0.500, 0.500)
Sn (0.500, 0.000, 0.500)
Sn (0.500, 0.500, 0.000)
B (0.500, 0.500, 0.500)

***

*two*
A plane-wave DFT calculation with PBE was carried out for an optimized crystal structure of LaSn3B.

a = 6.042 Å, b = 6.042 Å, c = 6.042 Å
α = 90.00°, β = 90.00°, γ = 90.00°
Fractional positions:
La (0.000, 0.000, 0.000)
Sn (0.000, 0.000, 0.500)
Sn (0.000, 0.500, 0.000)
Sn (0.500, 0.000, 0.000)
B (0.500, 0.500, 0.500)

***

Energies relative to the minimum, meV per atom: *one* 0; *two* 1437

***

*one*
A plane-wave DFT calculation with PBE was carried out for an optimized crystal structure of SrLaB3.

a = 4.841 Å, b = 4.841 Å, c = 4.841 Å
α = 90.00°, β = 90.00°, γ = 90.00°
Fractional positions:
Sr (0.000, 0.000, 0.000)
La (0.500, 0.500, 0.500)
B (0.000, 0.500, 0.500)
B (0.500, 0.000, 0.500)
B (0.500, 0.500, 0.000)

***

*two*
A plane-wave DFT calculation with PBE was carried out for an optimized crystal structure of SrLaB3.

a = 4.746 Å, b = 4.746 Å, c = 4.746 Å
α = 90.00°, β = 90.00°, γ = 90.00°
Fractional positions:
Sr (0.000, 0.000, 0.000)
La (0.500, 0.500, 0.500)
B (0.000, 0.000, 0.500)
B (0.000, 0.500, 0.000)
B (0.500, 0.000, 0.000)

***

Energies relative to the minimum, meV per atom: *one* 0; *two* 346

***

*one*
A plane-wave DFT calculation with PBE was carried out for an optimized crystal structure of LaTc3B.

a = 4.829 Å, b = 4.829 Å, c = 4.829 Å
α = 90.00°, β = 90.00°, γ = 90.00°
Fractional positions:
La (0.000, 0.000, 0.000)
Tc (0.000, 0.000, 0.500)
Tc (0.000, 0.500, 0.000)
Tc (0.500, 0.000, 0.000)
B (0.500, 0.500, 0.500)

***

*two*
A plane-wave DFT calculation with PBE was carried out for an optimized crystal structure of LaTc3B.

a = 4.340 Å, b = 4.340 Å, c = 4.340 Å
α = 90.00°, β = 90.00°, γ = 90.00°
Fractional positions:
La (0.000, 0.000, 0.000)
Tc (0.000, 0.500, 0.500)
Tc (0.500, 0.000, 0.500)
Tc (0.500, 0.500, 0.000)
B (0.500, 0.500, 0.500)

***

Energies relative to the minimum, meV per atom: *one* 2831; *two* 0

***

*one*
A plane-wave DFT calculation with PBE was carried out for an optimized crystal structure of La2B2Te.

a = 8.290 Å, b = 8.290 Å, c = 3.987 Å
α = 90.00°, β = 90.00°, γ = 90.00°
Fractional positions:
La (0.167, 0.333, 0.000)
La (0.333, 0.833, 0.000)
La (0.667, 0.167, 0.000)
La (0.833, 0.667, 0.000)
B (0.066, 0.566, 0.500)
B (0.434, 0.066, 0.500)
B (0.566, 0.934, 0.500)
B (0.934, 0.434, 0.500)
Te (0.000, 0.000, 0.000)
Te (0.500, 0.500, 0.000)

***

*two*
A plane-wave DFT calculation with PBE was carried out for an optimized crystal structure of La2B2Te.

a = 3.961 Å, b = 3.961 Å, c = 15.181 Å
α = 90.00°, β = 90.00°, γ = 90.00°
Fractional positions:
La (0.000, 0.000, 0.136)
La (0.000, 0.000, 0.864)
La (0.500, 0.500, 0.364)
La (0.500, 0.500, 0.636)
B (0.000, 0.500, 0.250)
B (0.000, 0.500, 0.750)
B (0.500, 0.000, 0.250)
B (0.500, 0.000, 0.750)
Te (0.000, 0.000, 0.500)
Te (0.500, 0.500, 0.000)

***

Energies relative to the minimum, meV per atom: *one* 0; *two* 180

***

*one*
A plane-wave DFT calculation with PBE was carried out for an optimized crystal structure of La2Ti2B.

a = 3.927 Å, b = 3.927 Å, c = 14.742 Å
α = 90.00°, β = 90.00°, γ = 90.00°
Fractional positions:
La (0.000, 0.500, 0.250)
La (0.000, 0.500, 0.750)
La (0.500, 0.000, 0.250)
La (0.500, 0.000, 0.750)
Ti (0.000, 0.000, 0.067)
Ti (0.000, 0.000, 0.933)
Ti (0.500, 0.500, 0.433)
Ti (0.500, 0.500, 0.567)
B (0.000, 0.000, 0.500)
B (0.500, 0.500, 0.000)

***

*two*
A plane-wave DFT calculation with PBE was carried out for an optimized crystal structure of La2Ti2B.

a = 6.417 Å, b = 6.417 Å, c = 5.031 Å
α = 90.00°, β = 90.00°, γ = 90.00°
Fractional positions:
La (0.170, 0.330, 0.000)
La (0.330, 0.830, 0.000)
La (0.670, 0.170, 0.000)
La (0.830, 0.670, 0.000)
Ti (0.164, 0.664, 0.500)
Ti (0.336, 0.164, 0.500)
Ti (0.664, 0.836, 0.500)
Ti (0.836, 0.336, 0.500)
B (0.000, 0.000, 0.500)
B (0.500, 0.500, 0.500)

***

Energies relative to the minimum, meV per atom: *one* 1011; *two* 0

***

*one*
A plane-wave DFT calculation with PBE was carried out for an optimized crystal structure of LaTiB2.

a = 6.267 Å, b = 6.267 Å, c = 6.267 Å
α = 90.00°, β = 90.00°, γ = 90.00°
Fractional positions:
La (0.000, 0.000, 0.000)
La (0.000, 0.500, 0.500)
La (0.500, 0.000, 0.500)
La (0.500, 0.500, 0.000)
Ti (0.000, 0.000, 0.500)
Ti (0.000, 0.500, 0.000)
Ti (0.500, 0.000, 0.000)
Ti (0.500, 0.500, 0.500)
B (0.250, 0.250, 0.250)
B (0.250, 0.250, 0.750)
B (0.250, 0.750, 0.250)
B (0.250, 0.750, 0.750)
B (0.750, 0.250, 0.250)
B (0.750, 0.250, 0.750)
B (0.750, 0.750, 0.250)
B (0.750, 0.750, 0.750)

***

*two*
A plane-wave DFT calculation with PBE was carried out for an optimized crystal structure of LaTiB2.

a = 4.227 Å, b = 4.227 Å, c = 15.331 Å
α = 90.00°, β = 90.00°, γ = 90.00°
Fractional positions:
La (0.000, 0.250, 0.375)
La (0.000, 0.750, 0.625)
La (0.500, 0.250, 0.125)
La (0.500, 0.750, 0.875)
Ti (0.000, 0.250, 0.875)
Ti (0.000, 0.750, 0.125)
Ti (0.500, 0.250, 0.625)
Ti (0.500, 0.750, 0.375)
B (0.000, 0.000, 0.000)
B (0.000, 0.500, 0.000)
B (0.250, 0.250, 0.750)
B (0.250, 0.750, 0.250)
B (0.500, 0.000, 0.500)
B (0.500, 0.500, 0.500)
B (0.750, 0.250, 0.750)
B (0.750, 0.750, 0.250)

***

Energies relative to the minimum, meV per atom: *one* 96; *two* 0